Density functional theory data (PBE) for crystalline PuTlInO6 at its relaxed geometry.

Calculated values
- Volume: 14.429 Å³ per atom
- Density: 8429 kg/m3
- SG: P-31c
- ΔE_f (raw): -1.620 eV per atom
- E_tot: -127.53 eV for the cell shown

Lattice parameters (Å, degrees): 5.5663 5.5663 9.6790 90.00 90.00 120.00
Last column: nearest neighbours and their distance in Å.
Sites, in units of the cell vectors:
O1 0.3572 0.3399 0.3667  1 Pu 2.08, 1 In 2.20
O2 0.3399 0.9827 0.6333  1 Pu 2.08, 1 In 2.20
O3 0.6428 0.9827 0.8667  1 Pu 2.08, 1 In 2.20
O4 0.9827 0.6428 0.3667  1 Pu 2.08, 1 In 2.20
O5 0.0173 0.3572 0.6333  1 Pu 2.08, 1 In 2.20
O6 0.0173 0.6601 0.8667  1 Pu 2.08, 1 In 2.20
O7 0.9827 0.3399 0.1333  1 Pu 2.08, 1 In 2.20
O8 0.6601 0.0173 0.3667  1 Pu 2.08, 1 In 2.20
O9 0.6428 0.6601 0.6333  1 Pu 2.08, 1 In 2.20
O10 0.3399 0.3572 0.8667  1 Pu 2.08, 1 In 2.20
O11 0.3572 0.0173 0.1333  1 Pu 2.08, 1 In 2.20
O12 0.6601 0.6428 0.1333  1 Pu 2.08, 1 In 2.20
Tl1 0.0000 0.0000 0.5000  6 O 2.33
Tl2 0.0000 0.0000 0.0000  6 O 2.33
Pu1 0.6667 0.3333 0.2500  6 O 2.08
Pu2 0.3333 0.6667 0.7500  6 O 2.08
In1 0.6667 0.3333 0.7500  6 O 2.20
In2 0.3333 0.6667 0.2500  6 O 2.20



Density functional theory data (PBE) for crystalline Tm5BiTe4 at its relaxed geometry.

Calculated values
- Volume: 28.650 Å³ per atom
- Density: 9065 kg/m3
- SG: I4
- ΔE_f (raw): -1.100 eV per atom
- E_tot: -49.80 eV for the cell shown

Lattice parameters (Å, degrees): 6.1202 7.4950 7.4950 80.40 65.90 65.90
Last column: nearest neighbours and their distance in Å.
Sites, in units of the cell vectors:
Te1 0.4000 0.4011 0.8004  6 Tm 3.05-3.07
Te2 0.8011 0.8004 0.5989  6 Tm 3.05-3.07
Te3 0.2004 0.1996 0.4011  6 Tm 3.05-3.07
Te4 0.6016 0.5989 0.1996  6 Tm 3.05-3.07
Tm1 0.3019 0.7995 0.5981  5 Te 3.05-3.06, 1 Bi 3.07
Tm2 0.5022 0.0000 0.0000  2 Bi 3.06, 4 Te 3.07
Tm3 0.9000 0.4019 0.7995  5 Te 3.05-3.06, 1 Bi 3.07
Tm4 0.6995 0.2005 0.4019  5 Te 3.05-3.06, 1 Bi 3.07
Tm5 0.1014 0.5981 0.2005  5 Te 3.05-3.06, 1 Bi 3.07
Bi1 0.0021 0.0000 0.0000  6 Tm 3.06-3.07



Density functional theory data (PBE) for crystalline Sc2TcMoPd at its relaxed geometry.

Calculated values
- Volume: 22.519 Å³ per atom
- Energy of formation from the pure elements: 0.765 eV/atom
- Density: 5756 kg/m3
- SG: P4/mmm
- E_tot: -35.23 eV for the cell shown

Lattice parameters (Å, degrees): 4.9800 4.5401 4.9800 90.00 90.00 90.00
Last column: nearest neighbours and their distance in Å.
Sites, in units of the cell vectors:
Sc1 0.5000 0.0000 0.0000  2 Mo 2.49
Sc2 0.0000 0.0000 0.5000  2 Mo 2.49
Mo1 0.0000 0.0000 0.0000  2 Tc 2.27, 4 Sc 2.49
Pd1 0.5000 0.5000 0.5000  8 Sc 3.37, 4 Tc 3.52
Tc1 0.0000 0.5000 0.0000  2 Mo 2.27



Density functional theory data (PBE) for crystalline Hf3Be2Rh5 at its relaxed geometry.

Calculated values
- Volume: 14.725 Å³ per atom
- Energy of formation from the pure elements: -0.914 eV/atom
- Density: 12044 kg/m3
- SG: P4/mbm
- E_tot: -166.43 eV for the cell shown

Lattice parameters (Å, degrees): 3.3245 9.4118 9.4118 90.00 90.00 90.00
Last column: nearest neighbours and their distance in Å.
Sites, in units of the cell vectors:
Hf1 0.0000 0.3262 0.8262  3 Be 2.75-2.81, 10 Rh 2.85-3.04
Hf2 0.0000 0.1738 0.3262  3 Be 2.75-2.81, 10 Rh 2.85-3.04
Hf3 0.0000 0.0000 0.0000  8 Rh 2.71
Hf4 0.0000 0.8262 0.6738  3 Be 2.75-2.81, 10 Rh 2.85-3.04
Hf5 0.0000 0.6738 0.1738  3 Be 2.75-2.81, 10 Rh 2.85-3.04
Hf6 0.0000 0.5000 0.5000  8 Rh 2.71
Rh1 0.5000 0.2849 0.5727  2 Be 2.32
Rh2 0.5000 0.5727 0.7151  2 Be 2.32
Rh3 0.5000 0.4273 0.2849  2 Be 2.32
Rh4 0.5000 0.2151 0.0727  2 Be 2.32
Rh5 0.5000 0.0000 0.5000  4 Be 2.31
Rh6 0.5000 0.7151 0.4273  2 Be 2.32
Rh7 0.5000 0.5000 0.0000  4 Be 2.31
Rh8 0.5000 0.0727 0.7849  2 Be 2.32
Rh9 0.5000 0.9273 0.2151  2 Be 2.32
Rh10 0.5000 0.7849 0.9273  2 Be 2.32
Be1 0.0000 0.6200 0.8800  6 Rh 2.31-2.32
Be2 0.0000 0.8800 0.3800  6 Rh 2.31-2.32
Be3 0.0000 0.3800 0.1200  6 Rh 2.31-2.32
Be4 0.0000 0.1200 0.6200  6 Rh 2.31-2.32



Density functional theory data (PBE) for crystalline K2CuAsH at its relaxed geometry.

Calculated values
- Volume: 29.509 Å³ per atom
- Density: 2450 kg/m3
- SG: P4/mmm
- E_tot: -12.70 eV for the cell shown

Lattice parameters (Å, degrees): 6.4763 6.4763 3.5178 90.00 90.00 90.00
Last column: nearest neighbours and their distance in Å.
Sites, in units of the cell vectors:
H1 0.0000 0.0000 0.5000  2 As 1.76
K1 0.5000 0.0000 0.0000  2 As 3.24, 2 K 3.52
K2 0.0000 0.5000 0.0000  2 As 3.24, 2 K 3.52
As1 0.0000 0.0000 0.0000  2 H 1.76
Cu1 0.5000 0.5000 0.5000  2 Cu 3.52, 8 K 3.69



Density functional theory data (PBE) for crystalline Mn2PBr at its relaxed geometry.

Calculated values
- Volume: 17.038 Å³ per atom
- Density: 5379 kg/m3
- SG: Pmmm
- ΔE_f (raw): -0.008 eV per atom
- Relative energy among the computed polymorphs: 165.7 meV per atom
- E_tot: -25.46 eV for the cell shown

Lattice parameters (Å, degrees): 3.1371 3.2170 6.7530 90.03 90.00 90.00
Last column: nearest neighbours and their distance in Å.
Sites, in units of the cell vectors:
Mn1 0.0000 0.7486 0.0668  1 Mn 2.47, 4 P 2.56-2.57, 2 Br 2.65
Mn2 0.0000 0.7514 0.4332  1 Mn 2.47, 4 P 2.56-2.57, 2 Br 2.65
Br1 0.5000 0.7500 0.7500  4 Mn 2.65
P1 0.5000 0.2500 0.2500  8 Mn 2.56-2.57